Record 1
# LiNpRuO6 (GGA-PBE, optimized geometry)
# * symmetry: No. 163
data_LiNpRuO6
_chemical_formula_sum 'Li2 Np2 Ru2 O12'
_cell_length_a 5.318
_cell_length_b 5.318
_cell_length_c 9.393
_cell_angle_alpha 90.00
_cell_angle_beta 90.00
_cell_angle_gamma 120.00
_space_group_name_H-M_alt 'P 1'
_space_group_IT_number 1
loop_
_space_group_symop_operation_xyz
'x,y,z'
loop_
_atom_site_label
_atom_site_type_symbol
_atom_site_fract_x
_atom_site_fract_y
_atom_site_fract_z
O1 O 0.992 0.350 0.637
O2 O 0.350 0.358 0.363
O3 O 0.992 0.642 0.863
O4 O 0.350 0.992 0.137
O5 O 0.650 0.008 0.863
O6 O 0.008 0.358 0.137
O7 O 0.358 0.350 0.863
O8 O 0.358 0.008 0.637
O9 O 0.642 0.650 0.137
O10 O 0.642 0.992 0.363
O11 O 0.008 0.650 0.363
O12 O 0.650 0.642 0.637
Np1 Np 0.333 0.667 0.750
Np2 Np 0.667 0.333 0.250
Li1 Li 0.000 0.000 0.500
Li2 Li 0.000 0.000 0.000
Ru1 Ru 0.333 0.667 0.250
Ru2 Ru 0.667 0.333 0.750

Record 2
# LiNp3S2O6 (GGA-PBE, optimized geometry)
# * symmetry: No. 12
data_LiNp3S2O6
_chemical_formula_sum 'Li1 Np3 S2 O6'
_cell_length_a 5.674
_cell_length_b 7.283
_cell_length_c 6.805
_cell_angle_alpha 122.35
_cell_angle_beta 77.36
_cell_angle_gamma 90.00
_space_group_name_H-M_alt 'P 1'
_space_group_IT_number 1
loop_
_space_group_symop_operation_xyz
'x,y,z'
loop_
_atom_site_label
_atom_site_type_symbol
_atom_site_fract_x
_atom_site_fract_y
_atom_site_fract_z
Np1 Np 0.500 0.000 0.500
Np2 Np 0.500 0.500 0.500
Np3 Np 0.000 0.500 0.000
O1 O 0.751 0.790 0.175
O2 O 0.249 0.615 0.825
O3 O 0.412 0.174 0.348
O4 O 0.588 0.826 0.652
O5 O 0.751 0.385 0.175
O6 O 0.249 0.210 0.825
S1 S 0.798 0.312 0.624
S2 S 0.202 0.688 0.376
Li1 Li 0.500 0.000 0.000

Across the entries above, DOS at the Fermi energy takes the values 13.55 16.51 states/eV per cell, respectively.
Across the entries above, formation energy from raw total energies takes the values -1.8594 -2.3468 eV per atom, respectively.
Across the entries above, DFT total energy takes the values -7.85 -8.91 eV/atom, respectively.